No. 1
DFT (SCAN) results for a PBEsol-optimized structure of CrCuSiF2.

The structure belongs to space group P4/mmm (No. 123); the cell edges are 3.679, 3.679 and 5.554 Å and the angles 90.00°, 90.00° and 90.00°. The asymmetric unit holds Cr at (0.000, 0.000, 0.000), Cu at (0.000, 0.000, 0.500), Si at (0.500, 0.500, 0.500) and F at (0.000, 0.500, 0.000).

As for the volume: 15.03 Å³/atom. The formation energy without anion corrections is -1.0372 eV/atom. Its density of states at the Fermi level is 0.29 states/eV/atom.

No. 2
DFT (SCAN) results for a PBEsol-optimized structure of Zr2CrCuF.

The structure belongs to space group P4/mmm (No. 123); the cell edges are 4.827, 4.827 and 3.706 Å and the angles 90.00°, 90.00° and 90.00°. The asymmetric unit holds Zr at (0.000, 0.500, 0.000), Cr at (0.000, 0.000, 0.000), Cu at (0.500, 0.500, 0.500) and F at (0.000, 0.000, 0.500).

As for the volume: 17.27 Å³/atom. The formation energy without anion corrections is 0.1201 eV/atom. Its density of states at the Fermi level is 0.87 states/eV/atom.

No. 3
DFT (SCAN) results for a PBEsol-optimized structure of CrFeCu2.

The structure belongs to space group Pmm2 (No. 25); the cell edges are 2.499, 3.501 and 5.075 Å and the angles 90.00°, 90.00° and 90.00°. The asymmetric unit holds Cr at (0.000, 0.000, 0.000), Fe at (0.500, 0.500, 0.788), Cu at (0.000, 0.000, 0.515) and Cu at (0.500, 0.500, 0.279).

As for the volume: 11.10 Å³/atom. Its density of states at the Fermi level is 0.71 states/eV/atom. The calculation puts the energy of formation at 0.20 eV per atom.